# 1
{
  "formula": "Na2LiSiAu",
  "functional": "PBE-GGA",
  "state": "relaxed",
  "density_g_cm3": 3.2,
  "space_group": "P4/mmm, No. 123",
  "total_energy_ev_per_fu": -12.981,
  "lattice_angstrom": [[5.549, 0.000, 0.000], [0.000, 4.650, 0.000], [0.000, 0.000, 5.549]],
  "species": ["Na", "Na", "Si", "Au", "Li"],
  "frac_coords": [[0.000, 0.000, 0.500], [0.500, 0.000, 0.000], [0.000, 0.500, 0.000], [0.000, 0.000, 0.000], [0.500, 0.500, 0.500]]
}

=====

# 2
{
  "formula": "ErMnC",
  "functional": "PBE-GGA",
  "state": "relaxed",
  "formation_enthalpy_0k_ev_per_atom": -0.017,
  "density_g_cm3": 8.8,
  "relative_energy_ev_per_atom": 0.000,
  "space_group": "P3m1, No. 156",
  "total_energy_ev_per_fu": -23.008,
  "lattice_angstrom": [[-1.394, -2.707, -1.012], [3.198, 0.254, 0.002], [0.139, -1.790, 4.596]],
  "species": ["C", "Mn", "Er"],
  "frac_coords": [[0.667, 0.333, 0.392], [0.333, 0.667, 0.542], [0.000, 0.000, 0.067]]
}

=====

# 3
{
  "formula": "Sc2AlAg",
  "functional": "PBE-GGA",
  "state": "relaxed",
  "formation_enthalpy_0k_ev_per_atom": -0.367,
  "density_g_cm3": 4.7,
  "space_group": "P4/mmm, No. 123",
  "total_energy_ev_per_fu": -20.724,
  "lattice_angstrom": [[3.342, 0.000, 0.000], [-0.001, 3.342, 0.000], [0.000, 0.000, 7.139]],
  "species": ["Sc", "Sc", "Al", "Ag"],
  "frac_coords": [[0.000, 0.000, 0.000], [0.000, 0.000, 0.500], [0.500, 0.500, 0.750], [0.500, 0.500, 0.250]]
}

=====

# 4
{
  "formula": "BaNdAg",
  "functional": "PBE-GGA",
  "state": "relaxed",
  "formation_enthalpy_0k_ev_per_atom": -0.074,
  "density_g_cm3": 5.9,
  "relative_energy_ev_per_atom": 0.000,
  "space_group": "I4mm, No. 107",
  "total_energy_ev_per_fu": -9.763,
  "lattice_angstrom": [[3.962, 0.000, 0.000], [0.000, 3.962, 0.000], [-1.981, -1.981, 6.975]],
  "species": ["Nd", "Ba", "Ag"],
  "frac_coords": [[0.291, 0.291, 0.583], [0.022, 0.022, 0.044], [0.687, 0.687, 0.374]]
}

=====

# 5
{
  "formula": "NbTlAsF2",
  "functional": "PBE-GGA",
  "state": "relaxed",
  "density_g_cm3": 6.4,
  "space_group": "P4/mmm, No. 123",
  "total_energy_ev_per_fu": -21.714,
  "lattice_angstrom": [[4.117, 0.000, 0.000], [0.000, 6.304, 0.000], [0.000, 0.000, 4.117]],
  "species": ["As", "Tl", "Nb", "F", "F"],
  "frac_coords": [[0.000, 0.000, 0.000], [0.000, 0.500, 0.000], [0.500, 0.500, 0.500], [0.000, 0.000, 0.500], [0.500, 0.000, 0.000]]
}

=====

# 6
{
  "formula": "NbCd2PI",
  "functional": "PBE-GGA",
  "state": "relaxed",
  "density_g_cm3": 5.0,
  "relative_energy_ev_per_atom": 0.000,
  "space_group": "P4/mmm, No. 123",
  "total_energy_ev_per_fu": -16.636,
  "lattice_angstrom": [[5.782, 0.000, 0.000], [0.000, 4.703, 0.000], [0.000, 0.000, 5.782]],
  "species": ["I", "P", "Nb", "Cd", "Cd"],
  "frac_coords": [[0.500, 0.500, 0.500], [0.000, 0.500, 0.000], [0.000, 0.000, 0.000], [0.000, 0.000, 0.500], [0.500, 0.000, 0.000]]
}